An optimized crystal structure of Ca3Al7Zn4, computed with PBE.

The structure in extended XYZ format:
```
14
Lattice="4.195 0.000 1.058 1.590 7.705 2.540 0.102 -0.114 8.439" Properties=species:S:1:pos:R:3 pbc="T T T"
Ca 1.603 1.433 2.490
Ca 4.284 6.158 9.548
Ca 0.846 3.796 5.489
Al 2.746 6.210 6.799
Al 2.482 1.504 7.845
Al 4.253 2.853 9.668
Al 3.140 1.381 5.238
Al 1.633 4.738 2.369
Al 0.000 0.000 0.000
Al 3.404 6.088 4.192
Zn 3.512 3.515 3.764
Zn 2.374 4.077 8.274
Zn 5.140 6.978 6.153
Zn 0.746 0.614 5.884
```

Calculated values
Space-group type: C2/m (12)
Size of the total moment: 0.0 μB per cell
Calculated total energy: -2.915 eV/atom
ΔE_f: -0.251 eV/atom


An optimized crystal structure of BeIn3Os, computed with PBE.

The structure in extended XYZ format:
```
5
Lattice="4.672 0.000 0.000 0.000 4.672 0.000 0.000 0.000 4.672" Properties=species:S:1:pos:R:3 pbc="T T T"
Be 0.000 0.000 0.000
Os 2.336 2.336 2.336
In 0.000 2.336 0.000
In 0.000 0.000 2.336
In 2.336 0.000 0.000
```

Calculated values
Space-group type: Pm-3m (221)
Size of the total moment: 1.1 μB per cell
Calculated total energy: -3.509 eV/atom
ΔE_f: 1.125 eV/atom


An optimized crystal structure of ZrTl4Se, computed with PBE.

The structure in extended XYZ format:
```
6
Lattice="0.000 4.337 4.337 4.337 0.000 4.337 4.337 4.337 0.000" Properties=species:S:1:pos:R:3 pbc="T T T"
Zr 6.505 6.505 6.505
Tl 3.254 5.419 5.419
Tl 5.419 5.419 3.254
Tl 5.419 3.254 5.419
Tl 3.254 3.254 3.254
Se 0.000 0.000 0.000
```

Calculated values
Space-group type: F-43m (216)
Size of the total moment: 0.0 μB per cell
Calculated total energy: -3.192 eV/atom


An optimized crystal structure of TbDy3Er, computed with PBE.

The structure in extended XYZ format:
```
10
Lattice="-2.323 -1.923 -1.950 3.605 -5.895 4.821 -8.088 1.622 8.033" Properties=species:S:1:pos:R:3 pbc="T T T"
Tb -2.286 -0.958 2.018
Tb -4.519 -5.237 8.886
Dy -1.259 -2.799 -0.702
Dy -5.546 -3.396 11.606
Dy -5.302 -1.988 3.314
Dy -1.503 -4.207 7.590
Dy -0.632 -5.598 4.621
Dy -6.174 -0.597 6.283
Er -2.606 -4.273 2.366
Er -4.200 -1.922 8.538
```

Calculated values
Space-group type: P2_1/m (11)
Size of the total moment: 0.0 μB per cell
Calculated total energy: -4.275 eV/atom
ΔE_f: 0.325 eV/atom


An optimized crystal structure of BiTeS2N, computed with PBE.

The structure in extended XYZ format:
```
5
Lattice="-2.223 4.318 -1.872 -1.124 -2.498 -4.427 -3.476 -1.131 1.521" Properties=species:S:1:pos:R:3 pbc="T T T"
S -0.562 -1.249 -2.213
S -1.112 2.159 -0.936
Te 0.000 0.000 0.000
Bi -3.412 0.345 -2.389
N -1.738 -0.565 0.760
```

Calculated values
Space-group type: P4/mmm (123)
Size of the total moment: 0.0 μB per cell
Calculated total energy: -4.001 eV/atom


An optimized crystal structure of NbRe3Pb, computed with PBE.

The structure in extended XYZ format:
```
5
Lattice="-4.257 -0.140 -2.328 2.218 -1.738 -3.953 -0.719 -4.530 1.588" Properties=species:S:1:pos:R:3 pbc="T T T"
Pb -1.379 -3.204 -2.346
Re 1.109 -0.869 -1.976
Re -0.360 -2.265 0.794
Re -2.129 -0.070 -1.164
Nb 0.000 0.000 0.000
```

Calculated values
Space-group type: Pm-3m (221)
Size of the total moment: 3.0 μB per cell
Calculated total energy: -8.034 eV/atom
ΔE_f: 2.190 eV/atom


An optimized crystal structure of MnSb6Rh, computed with PBE.

The structure in extended XYZ format:
```
16
Lattice="-8.026 -0.243 1.170 3.436 -6.493 3.446 3.024 6.738 3.334" Properties=species:S:1:pos:R:3 pbc="T T T"
Mn 1.512 3.369 1.667
Mn -0.783 0.001 3.975
Sb 3.503 1.163 5.180
Sb -5.068 -1.161 2.771
Sb -2.966 -1.106 4.942
Sb 1.400 1.108 3.009
Sb -4.031 3.249 3.689
Sb 2.466 -3.247 4.261
Sb 0.833 -1.149 5.699
Sb -2.398 1.151 2.251
Sb -2.039 -4.408 4.119
Sb 0.474 4.409 3.831
Sb -1.010 2.231 5.324
Sb -0.555 -2.229 2.626
Rh 1.718 -3.247 1.723
Rh -4.013 -0.121 0.585
```

Calculated values
Space-group type: C2/m (12)
Size of the total moment: 4.0 μB per cell
Calculated total energy: -5.344 eV/atom


An optimized crystal structure of Li3BiPb3, computed with PBE.

The structure in extended XYZ format:
```
14
Lattice="7.121 0.031 -0.001 0.048 7.121 -0.001 0.001 0.001 6.840" Properties=species:S:1:pos:R:3 pbc="T T T"
Li 0.001 0.001 5.118
Li 3.608 7.136 1.723
Li 7.145 3.592 1.723
Li 3.561 0.017 5.115
Li 0.025 3.561 5.115
Li 7.168 7.152 1.721
Bi 1.740 1.736 0.000
Bi 5.429 5.417 6.839
Pb 2.109 2.105 3.419
Pb 1.774 5.392 3.419
Pb 5.396 1.761 3.419
Pb 2.056 5.108 -0.001
Pb 5.112 2.044 -0.001
Pb 5.060 5.048 3.419
```

Calculated values
Space-group type: Cmmm (65)
Size of the total moment: 0.0 μB per cell
Calculated total energy: -3.202 eV/atom
ΔE_f: -0.238 eV/atom